<i>
{"formula": "PrMg2Ga", "functional": "PBE", "state": "relaxed", "vol_a3_per_cell": 197, "space_group": "No. 63", "cell": [[1.886, -10.826, 0.000], [1.886, 10.826, 0.000], [0.000, 0.000, 4.836]], "species": ["Pr", "Pr", "Mg", "Mg", "Mg", "Mg", "Ga", "Ga"], "fractional_positions": [[0.110, 0.890, 0.750], [0.890, 0.110, 0.250], [0.258, 0.742, 0.250], [0.466, 0.534, 0.750], [0.534, 0.466, 0.250], [0.742, 0.258, 0.750], [0.339, 0.661, 0.750], [0.661, 0.339, 0.250]]}

---

<ii>
{"formula": "PrMg2Ga", "functional": "PBE", "state": "relaxed", "vol_a3_per_cell": 98, "space_group": "No. 123", "cell": [[4.474, 0.000, 0.000], [0.000, 4.474, 0.000], [0.000, 0.000, 4.894]], "species": ["Pr", "Mg", "Mg", "Ga"], "fractional_positions": [[0.000, 0.000, 0.000], [0.000, 0.500, 0.500], [0.500, 0.000, 0.500], [0.500, 0.500, 0.000]]}

---

Quick ranking, most stable first: <i>, <ii>.

---

<i>
{"formula": "Pr3MgGa2", "functional": "PBE", "state": "relaxed", "vol_a3_per_cell": 324, "space_group": "No. 164", "cell": [[5.344, 0.000, 0.000], [-2.672, 4.628, 0.000], [0.000, 0.000, 13.111]], "species": ["Pr", "Pr", "Pr", "Pr", "Pr", "Pr", "Mg", "Mg", "Ga", "Ga", "Ga", "Ga"], "fractional_positions": [[0.000, 0.000, 0.238], [0.000, 0.000, 0.762], [0.333, 0.667, 0.418], [0.333, 0.667, 0.928], [0.667, 0.333, 0.072], [0.667, 0.333, 0.582], [0.333, 0.667, 0.672], [0.667, 0.333, 0.328], [0.000, 0.000, 0.000], [0.000, 0.000, 0.500], [0.333, 0.667, 0.178], [0.667, 0.333, 0.822]]}

---

<ii>
{"formula": "Pr3MgGa2", "functional": "PBE", "state": "relaxed", "vol_a3_per_cell": 163, "space_group": "No. 123", "cell": [[3.702, 0.000, 0.000], [0.000, 3.702, 0.000], [0.000, 0.000, 11.908]], "species": ["Pr", "Pr", "Pr", "Mg", "Ga", "Ga"], "fractional_positions": [[0.000, 0.000, 0.000], [0.000, 0.000, 0.317], [0.000, 0.000, 0.683], [0.500, 0.500, 0.500], [0.500, 0.500, 0.165], [0.500, 0.500, 0.835]]}

---

Quick ranking, most stable first: <i>, <ii>.

---

<i>
{"formula": "PrMgGaSn", "functional": "PBE", "state": "relaxed", "vol_a3_per_cell": 98, "space_group": "No. 47", "cell": [[4.438, 0.000, 0.000], [0.000, 4.645, 0.000], [0.000, 0.000, 4.739]], "species": ["Pr", "Mg", "Ga", "Sn"], "fractional_positions": [[0.000, 0.000, 0.000], [0.000, 0.500, 0.500], [0.500, 0.500, 0.000], [0.500, 0.000, 0.500]]}

---

<ii>
{"formula": "PrMgGaSn", "functional": "PBE", "state": "relaxed", "vol_a3_per_cell": 101, "space_group": "No. 216", "cell": [[0.000, 3.692, 3.692], [3.692, 0.000, 3.692], [3.692, 3.692, 0.000]], "species": ["Pr", "Mg", "Ga", "Sn"], "fractional_positions": [[0.000, 0.000, 0.000], [0.500, 0.500, 0.500], [0.750, 0.750, 0.750], [0.250, 0.250, 0.250]]}

---

Quick ranking, most stable first: <i>, <ii>.

---

<i>
{"formula": "Mg2Ga2Pt", "functional": "PBE", "state": "relaxed", "vol_a3_per_cell": 188, "space_group": "No. 12", "cell": [[4.840, -2.035, 0.000], [4.840, 2.035, 0.000], [-4.386, 0.000, 9.542]], "species": ["Mg", "Mg", "Mg", "Mg", "Ga", "Ga", "Ga", "Ga", "Pt", "Pt"], "fractional_positions": [[0.013, 0.013, 0.184], [0.186, 0.186, 0.626], [0.814, 0.814, 0.374], [0.987, 0.987, 0.816], [0.349, 0.349, 0.953], [0.455, 0.455, 0.599], [0.545, 0.545, 0.401], [0.651, 0.651, 0.047], [0.297, 0.297, 0.179], [0.703, 0.703, 0.821]]}

---

<ii>
{"formula": "Mg2Ga2Pt", "functional": "PBE", "state": "relaxed", "vol_a3_per_cell": 193, "space_group": "No. 127", "cell": [[6.834, 0.000, 0.000], [0.000, 6.834, 0.000], [0.000, 0.000, 4.127]], "species": ["Mg", "Mg", "Mg", "Mg", "Ga", "Ga", "Ga", "Ga", "Pt", "Pt"], "fractional_positions": [[0.153, 0.347, 0.000], [0.347, 0.847, 0.000], [0.653, 0.153, 0.000], [0.847, 0.653, 0.000], [0.156, 0.656, 0.500], [0.344, 0.156, 0.500], [0.656, 0.844, 0.500], [0.844, 0.344, 0.500], [0.000, 0.000, 0.000], [0.500, 0.500, 0.000]]}

---

Quick ranking, most stable first: <i>, <ii>.